(1)
VASP calculation (PBE-GGA) on crystalline Ni4Ag3 at its relaxed geometry.

Results
The total energy is -4.3366 eV per atom. The value obtained for the energy above the most stable polymorph in this dataset is 0 meV per atom.

Cell: 2.748 2.748 25.825 Å, 90.00 90.00 90.00°
Atoms (fractional coordinates):
Ni: 0.000 0.000 0.075
Ni: 0.000 0.000 0.369
Ni: 0.000 0.000 0.631
Ni: 0.000 0.000 0.925
Ni: 0.500 0.500 0.131
Ni: 0.500 0.500 0.425
Ni: 0.500 0.500 0.575
Ni: 0.500 0.500 0.869
Ag: 0.000 0.000 0.206
Ag: 0.000 0.000 0.500
Ag: 0.000 0.000 0.794
Ag: 0.500 0.500 0.000
Ag: 0.500 0.500 0.294
Ag: 0.500 0.500 0.706



(2)
VASP calculation (PBE-GGA) on crystalline NiAg2 at its relaxed geometry.

Results
The total energy is -3.5714 eV per atom. The value obtained for the energy above the most stable polymorph in this dataset is 77 meV per atom.

Cell: 2.823 14.334 4.628 Å, 90.00 90.00 90.00°
Atoms (fractional coordinates):
Ni: 0.000 0.110 0.250
Ni: 0.000 0.890 0.750
Ni: 0.500 0.390 0.750
Ni: 0.500 0.610 0.250
Ag: 0.000 0.226 0.750
Ag: 0.000 0.445 0.250
Ag: 0.000 0.555 0.750
Ag: 0.000 0.774 0.250
Ag: 0.500 0.055 0.750
Ag: 0.500 0.274 0.250
Ag: 0.500 0.726 0.750
Ag: 0.500 0.945 0.250



(3)
VASP calculation (PBE-GGA) on crystalline Ni3Ag at its relaxed geometry.

Results
The total energy is -4.8749 eV per atom.

Cell: 2.648 2.648 7.215 Å, 90.00 90.00 90.00°
Atoms (fractional coordinates):
Ni: 0.000 0.000 0.000
Ni: 0.500 0.500 0.219
Ni: 0.500 0.500 0.781
Ag: 0.000 0.000 0.500



(4)
VASP calculation (PBE-GGA) on crystalline Ni3Ag at its relaxed geometry.

Results
The total energy is -4.8242 eV per atom.

Cell: 8.574 2.637 4.578 Å, 90.00 101.10 90.00°
Atoms (fractional coordinates):
Ni: 0.000 0.000 0.000
Ni: 0.241 0.500 0.223
Ni: 0.259 0.000 0.777
Ni: 0.500 0.500 0.000
Ni: 0.741 0.000 0.223
Ni: 0.759 0.500 0.777
Ag: 0.000 0.500 0.500
Ag: 0.500 0.000 0.500



(5)
VASP calculation (PBE-GGA) on crystalline NiAg at its relaxed geometry.

Results
The total energy is -4.0219 eV per atom.

Cell: 2.745 2.745 13.285 Å, 90.00 90.00 120.00°
Atoms (fractional coordinates):
Ni: 0.000 0.000 0.000
Ni: 0.333 0.667 0.667
Ni: 0.667 0.333 0.333
Ag: 0.000 0.000 0.500
Ag: 0.333 0.667 0.167
Ag: 0.667 0.333 0.833



(6)
VASP calculation (PBE-GGA) on crystalline NiAg4 at its relaxed geometry.

Results
The total energy is -2.8916 eV per atom. The value obtained for the energy above the most stable polymorph in this dataset is 379 meV per atom.

Cell: 3.704 3.704 14.073 Å, 90.00 90.00 90.00°
Atoms (fractional coordinates):
Ni: 0.000 0.000 0.000
Ni: 0.500 0.500 0.500
Ag: 0.000 0.000 0.407
Ag: 0.000 0.000 0.593
Ag: 0.000 0.500 0.250
Ag: 0.000 0.500 0.750
Ag: 0.500 0.000 0.250
Ag: 0.500 0.000 0.750
Ag: 0.500 0.500 0.093
Ag: 0.500 0.500 0.907



no.,ΔH_f (0 K) (meV/atom),DOS at the Fermi energy (states/eV per cell)
1,189,18.852
2,257,12.001
3,174,5.190
4,225,12.161
5,294,7.190
6,546,13.715